This record from Alexandria via LeMat-Bulk describes La2TcBr at its PBEsol-relaxed geometry. The functional is SCAN.

Total moment: 0.00 μB per atom
Calculated total energy: -35.924 eV/atom
Uncorrected formation energy: -0.74 eV per atom
N(E_F): 1.606 states/eV per cell
Excess energy over the best structure of this formula in the dataset: 0.09 eV per formula unit
Calculated volume: 99.0 Å³/cell

a = 3.4825 Å, b = 3.4863 Å, c = 8.1647 Å
α = 90.00°, β = 92.91°, γ = 90.00°
Last column: nearest neighbours and their distance in Å.
Fractional positions:
La (0.0394, 0.0000, 0.2881)  4 Tc 2.88-3.14
La (0.9606, 0.0000, 0.7119)  4 Tc 2.88-3.14
Tc (0.5000, 0.5000, 0.5000)  8 La 2.88-3.14
Br (0.5000, 0.5000, 0.0000)  8 La 3.40-3.41, 4 Br 3.48-3.49